The following is a DFT calculation (GGA-PBE) of a relaxed LiHfTl crystal.

Calculated values
Offset from the most stable computed form   147 meV/atom
Size of the total moment   0.00 μB per formula unit
Density of states at the Fermi level   0.4137 states/eV/atom
E   -14.13 eV per formula unit
Energy of formation   0.035 eV/atom

Cell lengths 8.9947, 3.1703, 9.1110 Å; angles 90.00, 90.00, 90.00 degrees
Closest atoms and distances in Å follow each position.
Fractional coordinates of all 12 atoms:
Tl  0.8645  0.2500  0.7390  5 Li 2.93-3.15, 5 Hf 3.13-3.17, 2 Tl 3.17
Tl  0.6355  0.7500  0.2390  5 Li 2.93-3.15, 5 Hf 3.13-3.17, 2 Tl 3.17
Tl  0.1355  0.7500  0.2610  5 Li 2.93-3.15, 5 Hf 3.13-3.17, 2 Tl 3.17
Tl  0.3645  0.2500  0.7610  5 Li 2.93-3.15, 5 Hf 3.13-3.17, 2 Tl 3.17
Hf  0.3899  0.2500  0.4175  4 Hf 2.95-3.17, 3 Li 3.06-3.25, 5 Tl 3.13-3.17
Hf  0.1101  0.7500  0.9175  4 Hf 2.95-3.17, 3 Li 3.06-3.25, 5 Tl 3.13-3.17
Hf  0.6101  0.7500  0.5825  4 Hf 2.95-3.17, 3 Li 3.06-3.25, 5 Tl 3.13-3.17
Hf  0.8899  0.2500  0.0825  4 Hf 2.95-3.17, 3 Li 3.06-3.25, 5 Tl 3.13-3.17
Li  0.8782  0.2500  0.4176  5 Tl 2.93-3.15, 3 Hf 3.06-3.25, 4 Li 3.09-3.17
Li  0.6218  0.7500  0.9176  5 Tl 2.93-3.15, 3 Hf 3.06-3.25, 4 Li 3.09-3.17
Li  0.1218  0.7500  0.5824  5 Tl 2.93-3.15, 3 Hf 3.06-3.25, 4 Li 3.09-3.17
Li  0.3782  0.2500  0.0824  5 Tl 2.93-3.15, 3 Hf 3.06-3.25, 4 Li 3.09-3.17

---

The following is a DFT calculation (GGA-PBE) of a relaxed LiHfTl crystal.

Calculated values
Offset from the most stable computed form   296 meV/atom
Size of the total moment   0.28 μB per formula unit
Density of states at the Fermi level   0.8237 states/eV/atom
E   -13.68 eV per formula unit
Energy of formation   0.185 eV/atom

Cell lengths 5.3605, 5.3605, 5.2167 Å; angles 90.00, 90.00, 121.35 degrees
Closest atoms and distances in Å follow each position.
Fractional coordinates of all 6 atoms:
Hf  0.5861  0.4139  0.7500  5 Tl 3.03-3.15, 3 Li 3.04-3.14, 2 Hf 3.06
Hf  0.4139  0.5861  0.2500  5 Tl 3.03-3.15, 3 Li 3.04-3.14, 2 Hf 3.06
Tl  0.2490  0.7510  0.7500  5 Hf 3.03-3.15, 5 Li 3.05-3.08
Tl  0.7510  0.2490  0.2500  5 Hf 3.03-3.15, 5 Li 3.05-3.08
Li  0.0778  0.9222  0.2500  2 Li 2.99, 3 Hf 3.04-3.14, 5 Tl 3.05-3.08
Li  0.9222  0.0778  0.7500  2 Li 2.99, 3 Hf 3.04-3.14, 5 Tl 3.05-3.08

---

The following is a DFT calculation (GGA-PBE) of a relaxed LiHfTl crystal.

Calculated values
Offset from the most stable computed form   163 meV/atom
Size of the total moment   0.00 μB per formula unit
Density of states at the Fermi level   0.6130 states/eV/atom
E   -14.08 eV per formula unit
Energy of formation   0.052 eV/atom

Cell lengths 7.8808, 7.8808, 5.2619 Å; angles 90.00, 90.00, 23.74 degrees
Closest atoms and distances in Å follow each position.
Fractional coordinates of all 6 atoms:
Tl  0.8470  0.8470  0.7978  3 Li 2.96-3.07, 4 Hf 3.09-3.11, 2 Tl 3.24
Tl  0.1530  0.1530  0.7978  3 Li 2.96-3.07, 4 Hf 3.09-3.11, 2 Tl 3.24
Hf  0.6707  0.6707  0.2954  4 Hf 2.94-3.24, 4 Tl 3.09-3.11, 3 Li 3.16-3.24
Hf  0.3293  0.3293  0.2954  4 Hf 2.94-3.24, 4 Tl 3.09-3.11, 3 Li 3.16-3.24
Li  0.0000  0.0000  0.1696  6 Li 3.03-3.24, 2 Tl 3.07, 4 Hf 3.16
Li  0.5000  0.5000  0.6558  4 Tl 2.96, 6 Li 3.03-3.24, 2 Hf 3.24

---

The following is a DFT calculation (GGA-PBE) of a relaxed LiHf2Tl2 crystal.

Calculated values
Offset from the most stable computed form   0 meV/atom
Size of the total moment   0.00 μB per formula unit
Density of states at the Fermi level   0.6429 states/eV/atom
E   -25.68 eV per formula unit
Energy of formation   0.175 eV/atom

Cell lengths 6.9472, 6.9472, 4.5387 Å; angles 90.00, 90.00, 90.00 degrees
Closest atoms and distances in Å follow each position.
Fractional coordinates of all 10 atoms:
Tl  0.3488  0.8488  0.0000  2 Li 2.64, 2 Hf 2.92
Tl  0.8488  0.6512  0.0000  2 Li 2.64, 2 Hf 2.92
Tl  0.6512  0.1512  0.0000  2 Li 2.64, 2 Hf 2.92
Tl  0.1512  0.3488  0.0000  2 Li 2.64, 2 Hf 2.92
Hf  0.1623  0.6623  0.5000  6 Tl 2.92-3.15, 1 Hf 3.19
Hf  0.6623  0.8377  0.5000  6 Tl 2.92-3.15, 1 Hf 3.19
Hf  0.8377  0.3377  0.5000  6 Tl 2.92-3.15, 1 Hf 3.19
Hf  0.3377  0.1623  0.5000  6 Tl 2.92-3.15, 1 Hf 3.19
Li  0.0000  0.0000  0.0000  4 Tl 2.64
Li  0.5000  0.5000  0.0000  4 Tl 2.64

---

The following is a DFT calculation (GGA-PBE) of a relaxed LiHfTl crystal.

Calculated values
Offset from the most stable computed form   132 meV/atom
Size of the total moment   0.00 μB per formula unit
Density of states at the Fermi level   0.7176 states/eV/atom
E   -14.17 eV per formula unit
Energy of formation   0.021 eV/atom

Cell lengths 3.2568, 7.9271, 7.9271 Å; angles 142.44, 90.00, 90.00 degrees
Closest atoms and distances in Å follow each position.
Fractional coordinates of all 6 atoms:
Tl  0.0000  0.9659  0.0341  4 Li 2.73-2.98, 4 Hf 3.04
Tl  0.0000  0.2597  0.7403  6 Li 2.76-3.09
Hf  0.5000  0.4467  0.5533  4 Hf 2.98-3.26, 6 Tl 3.04-3.24
Hf  0.0000  0.6132  0.3868  4 Hf 2.98-3.26, 6 Li 3.03-3.24
Li  0.5000  0.7998  0.2002  6 Tl 2.98-3.09, 2 Hf 3.24, 2 Li 3.26
Li  0.5000  0.1116  0.8884  4 Tl 2.73-2.76, 4 Hf 3.03

---

The following is a DFT calculation (GGA-PBE) of a relaxed LiHfTl crystal.

Calculated values
Offset from the most stable computed form   455 meV/atom
Size of the total moment   0.00 μB per formula unit
Density of states at the Fermi level   0.0030 states/eV/atom
E   -13.20 eV per formula unit
Energy of formation   0.344 eV/atom

Cell lengths 4.6663, 4.6663, 4.6663 Å; angles 60.00, 60.00, 60.00 degrees
Closest atoms and distances in Å follow each position.
Fractional coordinates of all 3 atoms:
Tl  0.0000  0.0000  0.0000  4 Hf 2.86, 4 Li 2.86
Hf  0.7500  0.7500  0.7500  4 Tl 2.86
Li  0.2500  0.2500  0.2500  4 Tl 2.86